(1)
Compound: SnSI2
Source: Alexandria via LeMat-Bulk
Functional: PBE
Structure: relaxed

Summary:
The space-group type is Fm-3m. The calculation puts the total magnetization at 0.500 μB/atom. The calculation puts the final energy at -9.90 eV for the cell shown. As for the formation energy from raw total energies: 1.33 eV per formula unit. The energy above the most stable polymorph in this dataset comes out at 0.00 eV/f.u.

a = 5.5397 Å, b = 5.5397 Å, c = 5.5397 Å
α = 60.00°, β = 60.00°, γ = 60.00°
Site moments in Bohr magnetons follow the coordinates.
Sites, in units of the cell vectors:
I: 0.2500 0.2500 0.2500  0.21
I: 0.7500 0.7500 0.7500  0.21
S: 0.0000 0.0000 0.0000  0.87
Sn: 0.5000 0.5000 0.5000  0.02

(2)
Compound: Ca3TlGa
Source: Alexandria via LeMat-Bulk
Functional: PBE
Structure: relaxed

Summary:
The space-group type is Cmcm. The calculation puts the total magnetization at 0.000 μB/atom. The calculation puts the final energy at -26.40 eV for the cell shown. The energy above the most stable polymorph in this dataset comes out at 0.00 eV/f.u.

a = 5.3785 Å, b = 5.3770 Å, c = 10.7492 Å
α = 90.00°, β = 75.51°, γ = 90.00°
Sites, in units of the cell vectors:
Ca: 0.7532 0.2500 0.1420
Ca: 0.3953 0.2500 0.8578
Ca: 0.5742 0.2500 0.5000
Ca: 0.2531 0.7500 0.1422
Ca: 0.8952 0.7500 0.8580
Ca: 0.0741 0.7500 0.5000
Tl: 0.4804 0.7500 0.6876
Tl: 0.1680 0.2500 0.3124
Ga: 0.6695 0.7500 0.3094
Ga: 0.9789 0.2500 0.6906

(3)
Compound: TiB3Ru
Source: Alexandria via LeMat-Bulk
Functional: PBE
Structure: relaxed

Summary:
The space-group type is Pm-3m. The calculation puts the total magnetization at 0.000 μB/atom. The calculation puts the final energy at -28.99 eV for the cell shown. The energy above the most stable polymorph in this dataset comes out at 4.53 eV/f.u.

a = 3.8927 Å, b = 3.8927 Å, c = 3.8927 Å
α = 90.00°, β = 90.00°, γ = 90.00°
Sites, in units of the cell vectors:
Ru: 0.5000 0.5000 0.5000
B: 0.0000 0.5000 0.0000
B: 0.0000 0.0000 0.5000
B: 0.5000 0.0000 0.0000
Ti: 0.0000 0.0000 0.0000

(4)
Compound: LaMnMo2
Source: Alexandria via LeMat-Bulk
Functional: PBE
Structure: relaxed

Summary:
The space-group type is I4_1/amd. The calculation puts the total magnetization at 0.000 μB/atom. The calculation puts the final energy at -63.95 eV for the cell shown. The energy above the most stable polymorph in this dataset comes out at 2.53 eV/f.u.

a = 4.8785 Å, b = 4.8785 Å, c = 8.7978 Å
α = 73.90°, β = 73.90°, γ = 90.00°
Sites, in units of the cell vectors:
Mo: 0.3750 0.1250 0.2500
Mo: 0.3750 0.6250 0.2500
Mo: 0.3750 0.6250 0.7500
Mo: 0.8750 0.6250 0.7500
Mn: 0.5000 0.5000 0.0000
Mn: 0.2500 0.7500 0.5000
La: 0.0000 0.0000 0.0000
La: 0.7500 0.2500 0.5000

(5)
Compound: BeCdNi2
Source: Alexandria via LeMat-Bulk
Functional: PBE
Structure: relaxed

Summary:
The space-group type is R-3m. The calculation puts the total magnetization at 0.000 μB/atom. The calculation puts the final energy at -15.95 eV for the cell shown.

a = 7.6682 Å, b = 7.6682 Å, c = 7.6682 Å
α = 20.95°, β = 20.95°, γ = 20.95°
Sites, in units of the cell vectors:
Ni: 0.9825 0.9825 0.9825
Ni: 0.5175 0.5175 0.5175
Be: 0.2500 0.2500 0.2500
Cd: 0.7500 0.7500 0.7500

(6)
Compound: Ti3Al2Cr
Source: Alexandria via LeMat-Bulk
Functional: PBE
Structure: relaxed

Summary:
The space-group type is Cmmm. The calculation puts the total magnetization at 0.000 μB/atom. The calculation puts the final energy at -85.15 eV for the cell shown.

a = 4.4337 Å, b = 7.0001 Å, c = 6.2568 Å
α = 90.00°, β = 90.00°, γ = 71.54°
Sites, in units of the cell vectors:
Ti: 0.8266 0.3467 0.7694
Ti: 0.5000 0.0000 0.2417
Ti: 0.1734 0.6533 0.2306
Ti: 0.8266 0.3467 0.2306
Ti: 0.1734 0.6533 0.7694
Ti: 0.5000 0.0000 0.7583
Al: 0.0000 0.0000 0.0000
Al: 0.0000 0.0000 0.5000
Al: 0.3366 0.3268 0.5000
Al: 0.6634 0.6732 0.5000
Cr: 0.3383 0.3234 0.0000
Cr: 0.6617 0.6766 0.0000

(7)
Compound: Al2SiNi
Source: Alexandria via LeMat-Bulk
Functional: PBE
Structure: relaxed

Summary:
The space-group type is Cm. The calculation puts the total magnetization at 0.000 μB/atom. The calculation puts the final energy at -57.41 eV for the cell shown. As for the formation energy from raw total energies: -0.45 eV per formula unit. The energy above the most stable polymorph in this dataset comes out at 0.81 eV/f.u.

a = 7.1715 Å, b = 8.1071 Å, c = 7.1715 Å
α = 45.09°, β = 42.04°, γ = 45.09°
Sites, in units of the cell vectors:
Ni: 0.2877 0.4123 0.2877
Ni: 0.6817 0.6344 0.6817
Ni: 0.4064 0.7294 0.4064
Si: 0.1398 0.0689 0.1398
Si: 0.8512 0.9288 0.8512
Si: 0.0792 0.8356 0.0792
Al: 0.6397 0.5088 0.1334
Al: 0.1334 0.5088 0.6397
Al: 0.5922 0.0371 0.5922
Al: 0.3942 0.4159 0.8835
Al: 0.4112 0.0052 0.4112
Al: 0.8835 0.4159 0.3942

(8)
Compound: TaGaFe
Source: Alexandria via LeMat-Bulk
Functional: PBE
Structure: relaxed

Summary:
The space-group type is Imma. The calculation puts the total magnetization at 0.629 μB/atom. The calculation puts the final energy at -48.16 eV for the cell shown.

a = 4.9421 Å, b = 4.9421 Å, c = 4.9421 Å
α = 90.45°, β = 118.97°, γ = 120.52°
Site moments in Bohr magnetons follow the coordinates.
Sites, in units of the cell vectors:
Ta: 0.2500 0.1236 0.8736  0.06
Ta: 0.7500 0.8764 0.1264  0.06
Ga: 0.5000 0.5000 0.5000  -0.02
Ga: 0.0000 0.5000 0.0000  -0.02
Fe: 0.0000 0.5000 0.5000  1.80
Fe: 0.5000 0.0000 0.5000  1.80

(9)
Compound: KRe2
Source: Alexandria via LeMat-Bulk
Functional: PBE
Structure: relaxed

Summary:
The space-group type is C2/m. The calculation puts the total magnetization at 0.000 μB/atom. The calculation puts the final energy at -47.32 eV for the cell shown. The energy above the most stable polymorph in this dataset comes out at 0.38 eV/f.u.

a = 6.1149 Å, b = 6.1149 Å, c = 8.7741 Å
α = 70.50°, β = 70.50°, γ = 26.22°
Sites, in units of the cell vectors:
K: 0.1554 0.1554 0.3825
K: 0.8446 0.8446 0.6175
Re: 0.5395 0.5395 0.8397
Re: 0.8463 0.8463 0.0012
Re: 0.4605 0.4605 0.1603
Re: 0.1537 0.1537 0.9988

(10)
Compound: NdErPd4
Source: Alexandria via LeMat-Bulk
Functional: PBE
Structure: relaxed

Summary:
The space-group type is F-43m. The calculation puts the total magnetization at 0.000 μB/atom. The calculation puts the final energy at -34.85 eV for the cell shown. The energy above the most stable polymorph in this dataset comes out at 0.44 eV/f.u.

a = 5.4772 Å, b = 5.4772 Å, c = 5.4772 Å
α = 60.00°, β = 60.00°, γ = 60.00°
Sites, in units of the cell vectors:
Nd: 0.2500 0.2500 0.2500
Pd: 0.6254 0.6254 0.1237
Pd: 0.6254 0.1237 0.6254
Pd: 0.6254 0.6254 0.6254
Pd: 0.1237 0.6254 0.6254
Er: 0.0000 0.0000 0.0000

(11)
Compound: MgWCl2
Source: Alexandria via LeMat-Bulk
Functional: PBE
Structure: relaxed

Summary:
The space-group type is C2/m. The calculation puts the total magnetization at 0.148 μB/atom. The calculation puts the final energy at -16.95 eV for the cell shown. As for the formation energy from raw total energies: 1.29 eV per formula unit. The energy above the most stable polymorph in this dataset comes out at 2.09 eV/f.u.

a = 5.6103 Å, b = 5.5014 Å, c = 3.0149 Å
α = 69.70°, β = 98.22°, γ = 123.30°
Site moments in Bohr magnetons follow the coordinates.
Sites, in units of the cell vectors:
Cl: 0.0000 0.0000 0.0000  0.00
Cl: 0.5000 0.0000 0.5000  0.00
Mg: 0.0000 0.5000 0.5000  -0.01
W: 0.5000 0.5000 0.0000  0.50

(12)
Compound: CaCrP2
Source: Alexandria via LeMat-Bulk
Functional: PBE
Structure: relaxed

Summary:
The space-group type is Pmm2. The calculation puts the total magnetization at 0.561 μB/atom. The calculation puts the final energy at -23.44 eV for the cell shown. The energy above the most stable polymorph in this dataset comes out at 1.54 eV/f.u.

a = 3.6067 Å, b = 3.3429 Å, c = 6.8308 Å
α = 90.00°, β = 90.00°, γ = 90.00°
Site moments in Bohr magnetons follow the coordinates.
Sites, in units of the cell vectors:
Ca: 0.0000 0.0000 0.4484  -0.01
Cr: 0.5000 0.5000 0.9238  2.57
P: 0.0000 0.0000 0.8718  -0.16
P: 0.5000 0.5000 0.2560  -0.17

(13)
Compound: KPa2SiO8
Source: Alexandria via LeMat-Bulk
Functional: PBE
Structure: relaxed

Summary:
The space-group type is P-3m1. The calculation puts the total magnetization at 0.000 μB/atom. The calculation puts the final energy at -97.80 eV for the cell shown. As for the formation energy from raw total energies: -32.62 eV per formula unit.

a = 4.9938 Å, b = 4.9938 Å, c = 8.2561 Å
α = 90.00°, β = 90.00°, γ = 120.00°
Sites, in units of the cell vectors:
K: 0.0000 0.0000 0.5000
Pa: 0.6667 0.3333 0.1417
Pa: 0.3333 0.6667 0.8583
Si: 0.0000 0.0000 0.0000
O: 0.8337 0.6675 0.8768
O: 0.3325 0.1663 0.8768
O: 0.8337 0.1663 0.8768
O: 0.1663 0.3325 0.1232
O: 0.6675 0.8337 0.1232
O: 0.1663 0.8337 0.1232
O: 0.6667 0.3333 0.3699
O: 0.3333 0.6667 0.6301

(14)
Compound: VFe3Co4
Source: Alexandria via LeMat-Bulk
Functional: PBE
Structure: relaxed

Summary:
The space-group type is P4/mmm. The calculation puts the total magnetization at 1.641 μB/atom. The calculation puts the final energy at -126.40 eV for the cell shown.

a = 3.9509 Å, b = 5.9254 Å, c = 7.9015 Å
α = 90.00°, β = 90.00°, γ = 90.00°
Site moments in Bohr magnetons follow the coordinates.
Sites, in units of the cell vectors:
Co: 0.5000 0.7571 0.0000  1.50
Co: 0.5000 0.7571 0.5000  1.50
Co: 0.5000 0.2429 0.0000  1.50
Co: 0.5000 0.2429 0.5000  1.50
Co: 0.0001 0.7571 0.7500  1.50
Co: 0.9999 0.7571 0.2500  1.50
Co: 0.9999 0.2429 0.2500  1.50
Co: 0.0001 0.2429 0.7500  1.50
Fe: 0.0000 0.0000 0.0000  2.83
Fe: 0.0000 0.0000 0.5000  2.83
Fe: 0.5000 0.0000 0.7500  2.77
Fe: 0.5000 0.0000 0.2500  2.77
Fe: 0.5000 0.5000 0.7500  2.53
Fe: 0.5000 0.5000 0.2500  2.53
V: 0.0000 0.5000 0.0000  -0.85
V: 0.0000 0.5000 0.5000  -0.85

(15)
Compound: LiHfGaSi2
Source: Alexandria via LeMat-Bulk
Functional: PBE
Structure: relaxed

Summary:
The space-group type is P4/mmm. The calculation puts the total magnetization at 0.000 μB/atom. The calculation puts the final energy at -23.24 eV for the cell shown. As for the formation energy from raw total energies: 2.50 eV per formula unit.

a = 4.2132 Å, b = 4.7595 Å, c = 4.2132 Å
α = 90.00°, β = 90.00°, γ = 90.00°
Sites, in units of the cell vectors:
Si: 0.0000 0.0000 0.5000
Si: 0.5000 0.0000 0.0000
Hf: 0.0000 0.5000 0.0000
Ga: 0.5000 0.5000 0.5000
Li: 0.0000 0.0000 0.0000

(16)
Compound: TaAsPb2
Source: Alexandria via LeMat-Bulk
Functional: PBE
Structure: relaxed

Summary:
The space-group type is Cmmm. The calculation puts the total magnetization at 0.000 μB/atom. The calculation puts the final energy at -21.57 eV for the cell shown.

a = 3.1112 Å, b = 3.1112 Å, c = 10.1228 Å
α = 90.00°, β = 90.00°, γ = 102.75°
Sites, in units of the cell vectors:
Pb: 0.0000 0.0000 0.0133
Pb: 0.0000 0.0000 0.4867
As: 0.5000 0.5000 0.7500
Ta: 0.5000 0.5000 0.2500

(17)
Compound: Ca4Bi2H
Source: Alexandria via LeMat-Bulk
Functional: PBE
Structure: relaxed

Summary:
The space-group type is I4/mmm. The calculation puts the total magnetization at 0.000 μB/atom. The calculation puts the final energy at -24.38 eV for the cell shown. The energy above the most stable polymorph in this dataset comes out at 0.00 eV/f.u.

a = 4.7763 Å, b = 4.7763 Å, c = 9.2045 Å
α = 74.96°, β = 74.96°, γ = 90.00°
Sites, in units of the cell vectors:
H: 0.0000 0.0000 0.0000
Ca: 0.1748 0.1748 0.6505
Ca: 0.8252 0.8252 0.3495
Ca: 0.0000 0.5000 0.0000
Ca: 0.5000 0.0000 0.0000
Bi: 0.3641 0.3641 0.2718
Bi: 0.6359 0.6359 0.7282

(18)
Compound: TlTc2OsO8
Source: Alexandria via LeMat-Bulk
Functional: PBE
Structure: relaxed

Summary:
The space-group type is C2/m. The calculation puts the total magnetization at 0.066 μB/atom. The calculation puts the final energy at -87.81 eV for the cell shown. As for the formation energy from raw total energies: -13.81 eV per formula unit.

a = 5.3979 Å, b = 5.3979 Å, c = 8.1322 Å
α = 87.18°, β = 87.18°, γ = 65.21°
Site moments in Bohr magnetons follow the coordinates.
Sites, in units of the cell vectors:
Tl: 0.0000 0.0000 0.5000  0.00
Tc: 0.6340 0.6340 0.2082  0.33
Tc: 0.3660 0.3660 0.7918  0.33
Os: 0.0000 0.0000 0.0000  -0.09
O: 0.7337 0.2160 0.8261  0.01
O: 0.7926 0.7926 0.0639  0.03
O: 0.6885 0.6885 0.4109  0.02
O: 0.3115 0.3115 0.5891  0.02
O: 0.2074 0.2074 0.9361  0.03
O: 0.2160 0.7337 0.8261  0.01
O: 0.7840 0.2663 0.1739  0.01
O: 0.2663 0.7840 0.1739  0.01

(19)
Compound: Ca2InRhC
Source: Alexandria via LeMat-Bulk
Functional: PBE
Structure: relaxed

Summary:
The space-group type is P4/mmm. The calculation puts the total magnetization at 0.000 μB/atom. The calculation puts the final energy at -24.56 eV for the cell shown.

a = 5.1644 Å, b = 5.1644 Å, c = 3.9206 Å
α = 90.00°, β = 90.00°, γ = 90.00°
Sites, in units of the cell vectors:
Ca: 0.0000 0.5000 0.0000
Ca: 0.5000 0.0000 0.0000
Rh: 0.0000 0.0000 0.5000
C: 0.0000 0.0000 0.0000
In: 0.5000 0.5000 0.5000

(20)
Compound: DyThCdSn
Source: Alexandria via LeMat-Bulk
Functional: PBE
Structure: relaxed

Summary:
The space-group type is F-43m. The calculation puts the total magnetization at 0.000 μB/atom. The calculation puts the final energy at -18.33 eV for the cell shown.

a = 5.3891 Å, b = 5.3891 Å, c = 5.3891 Å
α = 60.00°, β = 60.00°, γ = 60.00°
Sites, in units of the cell vectors:
Cd: 0.5000 0.5000 0.5000
Sn: 0.0000 0.0000 0.0000
Th: 0.2500 0.2500 0.2500
Dy: 0.7500 0.7500 0.7500